A geometry-optimized ErFeAgF6 structure, computed with PBE+U.

Output
**DFT total energy**: -97.219 eV for the cell shown

Lattice parameters (Å, degrees): 5.7643 5.7643 10.0324 90.00 90.00 120.00
Space group P-31c (No. 163)
Symmetry-distinct sites (fractional):
1 Er 0.3333 0.6667 0.2500 (multiplicity 2)
2 Fe 0.3333 0.6667 0.7500 (multiplicity 2)
3 Ag 0.0000 0.0000 0.0000 (multiplicity 2)
4 F 0.0089 0.3707 0.6397 (multiplicity 12)